[1]
VASP calculation (PBE) on Tl4Hg3Pb after structural relaxation.

Cell: 3.442 5.320 12.942 Å, 90.00 90.00 90.00°
Fractional coordinates of all 8 atoms:
Tl  0.500  0.500  0.331
Tl  0.000  0.500  0.825
Tl  0.000  0.000  0.181
Tl  0.500  0.000  0.667
Hg  0.000  0.500  0.570
Hg  0.000  0.000  0.434
Hg  0.500  0.000  0.925
Pb  0.500  0.500  0.067

Properties
DOS at the Fermi energy	3.95	states/eV per cell
uncorrected energy	-1.76	eV/atom
energy of formation from the pure elements	0.1	kJ per mole of atoms
spin magnetization	0.000	Bohr magnetons per cell

***

[2]
VASP calculation (PBE) on TlHg2Pb10 after structural relaxation.

Cell: 6.411 9.006 8.422 Å, 82.21 67.63 69.15°
Fractional coordinates of all 13 atoms:
Tl  0.000  0.000  0.000
Hg  0.000  0.500  0.000
Hg  0.500  0.500  0.000
Pb  0.354  0.648  0.644
Pb  0.646  0.352  0.356
Pb  0.002  0.352  0.644
Pb  0.998  0.648  0.356
Pb  0.000  0.000  0.500
Pb  0.500  0.000  0.500
Pb  0.279  0.226  0.215
Pb  0.721  0.774  0.785
Pb  0.506  0.774  0.215
Pb  0.494  0.226  0.785

Properties
DOS at the Fermi energy	5.22	states/eV per cell
uncorrected energy	-3.03	eV/atom
energy of formation from the pure elements	5.3	kJ per mole of atoms
spin magnetization	0.000	Bohr magnetons per cell

***

[3]
VASP calculation (PBE) on Tl5Hg3Pb after structural relaxation.

Cell: 6.645 9.635 9.635 Å, 120.00 90.00 90.00°
Fractional coordinates of all 18 atoms:
Tl  0.000  0.333  0.667
Tl  0.500  0.667  0.333
Tl  0.000  0.667  0.333
Tl  0.500  0.333  0.667
Tl  0.750  0.654  0.000
Tl  0.750  0.346  0.346
Tl  0.750  0.000  0.654
Tl  0.250  0.346  0.000
Tl  0.250  0.654  0.654
Tl  0.250  0.000  0.346
Hg  0.750  0.319  0.000
Hg  0.750  0.681  0.681
Hg  0.750  0.000  0.319
Hg  0.250  0.681  0.000
Hg  0.250  0.319  0.319
Hg  0.250  0.000  0.681
Pb  0.000  0.000  0.000
Pb  0.500  0.000  0.000

Properties
DOS at the Fermi energy	7.52	states/eV per cell
uncorrected energy	-1.83	eV/atom
energy of formation from the pure elements	0.2	kJ per mole of atoms
spin magnetization	0.000	Bohr magnetons per cell
energy relative to the lowest polymorph listed for this composition	0	meV/atom

***

[4]
VASP calculation (PBE) on Tl2Hg5Pb3 after structural relaxation.

Cell: 6.094 10.006 9.955 Å, 108.61 90.15 90.53°
Fractional coordinates of all 20 atoms:
Tl  0.866  0.617  0.128
Tl  0.363  0.129  0.615
Tl  0.134  0.383  0.872
Tl  0.637  0.871  0.385
Hg  0.621  0.286  0.953
Hg  0.127  0.950  0.286
Hg  0.379  0.714  0.047
Hg  0.873  0.050  0.714
Hg  0.055  0.718  0.815
Hg  0.945  0.282  0.185
Hg  0.753  0.554  0.444
Hg  0.247  0.446  0.556
Hg  0.438  0.190  0.280
Hg  0.562  0.810  0.720
Pb  0.655  0.500  0.763
Pb  0.157  0.767  0.506
Pb  0.345  0.500  0.237
Pb  0.843  0.233  0.494
Pb  0.250  0.048  0.946
Pb  0.750  0.952  0.054

Properties
DOS at the Fermi energy	7.64	states/eV per cell
uncorrected energy	-1.71	eV/atom
energy of formation from the pure elements	2.6	kJ per mole of atoms
spin magnetization	0.000	Bohr magnetons per cell

***

[5]
VASP calculation (PBE) on Tl4Hg4Pb5 after structural relaxation.

Cell: 5.092 9.083 9.083 Å, 85.49 73.72 73.72°
Fractional coordinates of all 13 atoms:
Tl  0.899  0.491  0.711
Tl  0.610  0.289  0.491
Tl  0.101  0.509  0.289
Tl  0.390  0.711  0.509
Hg  0.765  0.360  0.109
Hg  0.235  0.640  0.891
Hg  0.874  0.891  0.360
Hg  0.126  0.109  0.640
Pb  0.683  0.897  0.738
Pb  0.317  0.103  0.262
Pb  0.000  0.000  0.000
Pb  0.579  0.738  0.103
Pb  0.421  0.262  0.897

Properties
DOS at the Fermi energy	5.85	states/eV per cell
uncorrected energy	-2.23	eV/atom
energy of formation from the pure elements	1.5	kJ per mole of atoms
spin magnetization	0.000	Bohr magnetons per cell

***

[6]
VASP calculation (PBE) on Tl2Hg8Pb3 after structural relaxation.

Cell: 6.063 6.063 12.568 Å, 76.04 76.04 60.00°
Fractional coordinates of all 13 atoms:
Tl  0.641  0.641  0.077
Tl  0.359  0.359  0.923
Hg  0.725  0.725  0.825
Hg  0.275  0.275  0.175
Hg  0.230  0.729  0.312
Hg  0.729  0.230  0.312
Hg  0.729  0.729  0.312
Hg  0.271  0.770  0.688
Hg  0.770  0.271  0.688
Hg  0.271  0.271  0.688
Pb  0.000  0.000  0.000
Pb  0.817  0.817  0.549
Pb  0.183  0.183  0.451

Properties
DOS at the Fermi energy	4.54	states/eV per cell
uncorrected energy	-1.32	eV/atom
energy of formation from the pure elements	8.6	kJ per mole of atoms
spin magnetization	0.000	Bohr magnetons per cell
energy relative to the lowest polymorph listed for this composition	69	meV/atom

***

[7]
VASP calculation (PBE) on Tl2Hg3Pb5 after structural relaxation.

Cell: 6.588 9.725 9.725 Å, 106.63 90.20 90.19°
Fractional coordinates of all 20 atoms:
Tl  0.878  0.627  0.127
Tl  0.378  0.127  0.627
Tl  0.122  0.373  0.873
Tl  0.622  0.873  0.373
Hg  0.624  0.467  0.773
Hg  0.124  0.773  0.467
Hg  0.376  0.533  0.227
Hg  0.876  0.227  0.533
Hg  0.250  0.049  0.951
Hg  0.750  0.951  0.049
Pb  0.625  0.269  0.976
Pb  0.125  0.976  0.269
Pb  0.375  0.731  0.024
Pb  0.875  0.024  0.731
Pb  0.978  0.706  0.791
Pb  0.022  0.294  0.209
Pb  0.750  0.540  0.460
Pb  0.250  0.460  0.540
Pb  0.522  0.209  0.294
Pb  0.478  0.791  0.706

Properties
DOS at the Fermi energy	9.64	states/eV per cell
uncorrected energy	-2.39	eV/atom
energy of formation from the pure elements	2.3	kJ per mole of atoms
spin magnetization	0.000	Bohr magnetons per cell

***

[8]
VASP calculation (PBE) on TlHg2Pb after structural relaxation.

Cell: 11.620 11.620 11.620 Å, 16.99 16.99 16.99°
Fractional coordinates of all 4 atoms:
Pb  0.501  0.501  0.501
Tl  0.747  0.747  0.747
Hg  0.999  0.999  0.999
Hg  0.253  0.253  0.253

Properties
DOS at the Fermi energy	2.22	states/eV per cell
uncorrected energy	-1.64	eV/atom
energy of formation from the pure elements	2.4	kJ per mole of atoms
spin magnetization	0.000	Bohr magnetons per cell

***

[9]
VASP calculation (PBE) on TlHg2Pb after structural relaxation.

Cell: 6.086 6.086 6.086 Å, 134.35 134.35 66.54°
Fractional coordinates of all 4 atoms:
Pb  0.500  0.500  0.000
Tl  0.750  0.250  0.500
Hg  0.000  0.000  0.000
Hg  0.250  0.750  0.500

Properties
DOS at the Fermi energy	2.42	states/eV per cell
uncorrected energy	-1.63	eV/atom
energy of formation from the pure elements	4.0	kJ per mole of atoms
spin magnetization	0.000	Bohr magnetons per cell

***

[10]
VASP calculation (PBE) on TlHg2Pb9 after structural relaxation.

Cell: 4.934 4.934 14.899 Å, 90.00 90.00 90.00°
Fractional coordinates of all 12 atoms:
Tl  0.000  0.000  0.000
Hg  0.000  0.000  0.336
Hg  0.000  0.000  0.664
Pb  0.500  0.500  0.000
Pb  0.500  0.500  0.336
Pb  0.500  0.500  0.664
Pb  0.500  0.000  0.171
Pb  0.500  0.000  0.500
Pb  0.500  0.000  0.829
Pb  0.000  0.500  0.171
Pb  0.000  0.500  0.500
Pb  0.000  0.500  0.829

Properties
DOS at the Fermi energy	5.44	states/eV per cell
uncorrected energy	-3.03	eV/atom
energy of formation from the pure elements	0.2	kJ per mole of atoms
spin magnetization	0.000	Bohr magnetons per cell

***

[11]
VASP calculation (PBE) on Tl16Hg7Pb6 after structural relaxation.

Cell: 10.900 10.900 10.900 Å, 60.00 60.00 60.00°
Fractional coordinates of all 29 atoms:
Tl  0.477  0.841  0.841
Tl  0.841  0.477  0.841
Tl  0.841  0.841  0.841
Tl  0.841  0.841  0.477
Tl  0.159  0.523  0.159
Tl  0.523  0.159  0.159
Tl  0.159  0.159  0.159
Tl  0.159  0.159  0.523
Tl  0.145  0.618  0.618
Tl  0.618  0.145  0.618
Tl  0.618  0.618  0.618
Tl  0.618  0.618  0.145
Tl  0.382  0.855  0.382
Tl  0.855  0.382  0.382
Tl  0.382  0.382  0.382
Tl  0.382  0.382  0.855
Hg  0.500  0.500  0.500
Hg  0.500  0.000  0.500
Hg  0.000  0.500  0.000
Hg  0.500  0.000  0.000
Hg  0.000  0.500  0.500
Hg  0.500  0.500  0.000
Hg  0.000  0.000  0.500
Pb  0.159  0.841  0.159
Pb  0.841  0.159  0.841
Pb  0.159  0.841  0.841
Pb  0.841  0.159  0.159
Pb  0.159  0.159  0.841
Pb  0.841  0.841  0.159

Properties
DOS at the Fermi energy	11.32	states/eV per cell
uncorrected energy	-2.12	eV/atom
energy of formation from the pure elements	2.7	kJ per mole of atoms
spin magnetization	0.000	Bohr magnetons per cell

***

[12]
VASP calculation (PBE) on Tl7Hg2Pb2 after structural relaxation.

Cell: 3.479 10.780 10.780 Å, 61.94 80.71 80.71°
Fractional coordinates of all 11 atoms:
Tl  0.830  0.039  0.301
Tl  0.838  0.470  0.854
Tl  0.500  0.042  0.958
Tl  0.610  0.471  0.309
Tl  0.390  0.691  0.529
Tl  0.170  0.699  0.961
Tl  0.162  0.146  0.530
Hg  0.735  0.857  0.673
Hg  0.265  0.327  0.143
Pb  0.000  0.774  0.226
Pb  0.500  0.338  0.662

Properties
DOS at the Fermi energy	4.75	states/eV per cell
uncorrected energy	-2.20	eV/atom
energy of formation from the pure elements	3.6	kJ per mole of atoms
spin magnetization	0.000	Bohr magnetons per cell
energy relative to the lowest polymorph listed for this composition	11	meV/atom

***

What is the uncorrected energy in the first record? -1.76 eV/atom

***

energy of formation from the pure elements of number 12 (Tl7Hg2Pb2)? 3.6 kJ per mole of atoms

***

energy of formation from the pure elements of number 3 (Tl5Hg3Pb)? 0.2 kJ per mole of atoms

***

Look up the spin magnetization of the fourth one. 0.000 Bohr magnetons per cell